1.
First-principles (PBE-GGA) data for crystalline BeGa3Br at its relaxed geometry, as listed in Alexandria via LeMat-Bulk.

* DFT total energy: -2.853 eV per atom
* symmetry: Pm-3m
* energy relative to the lowest polymorph listed for this composition: 0.0 meV per atom
* calculated volume: 20.82 Å³/atom

Unit cell a=4.7040 b=4.7040 c=4.7040 alpha=90.00 beta=90.00 gamma=90.00
With the nearest neighbours (Å) after each atom.
Fractional coordinates of all 5 atoms:
Be (0.0000, 0.0000, 0.0000)  6 Ga 2.35
Ga (0.0000, 0.5000, 0.0000)  2 Be 2.35
Ga (0.0000, 0.0000, 0.5000)  2 Be 2.35
Ga (0.5000, 0.0000, 0.0000)  2 Be 2.35
Br (0.5000, 0.5000, 0.5000)  12 Ga 3.33

---

2.
First-principles (PBE-GGA) data for crystalline BeGa6Br12 at its relaxed geometry, as listed in Alexandria via LeMat-Bulk.

* DFT total energy: -2.820 eV per atom
* symmetry: R-3
* calculated volume: 36.56 Å³/atom

Unit cell a=9.5745 b=9.5745 c=9.5745 alpha=108.69 beta=108.69 gamma=108.69
With the nearest neighbours (Å) after each atom.
Fractional coordinates of all 19 atoms:
Be (0.0000, 0.0000, 0.0000)  6 Ga 2.31
Ga (0.9661, 0.1516, 0.2176)  3 Br 2.30-2.55, 1 Be 2.31
Ga (0.8484, 0.7824, 0.0339)  3 Br 2.30-2.55, 1 Be 2.31
Ga (0.7824, 0.0339, 0.8484)  3 Br 2.30-2.55, 1 Be 2.31
Ga (0.0339, 0.8484, 0.7824)  3 Br 2.30-2.55, 1 Be 2.31
Ga (0.1516, 0.2176, 0.9661)  3 Br 2.30-2.55, 1 Be 2.31
Ga (0.2176, 0.9661, 0.1516)  3 Br 2.30-2.55, 1 Be 2.31
Br (0.6305, 0.5194, 0.8394)  1 Ga 2.30
Br (0.5194, 0.8394, 0.6305)  1 Ga 2.30
Br (0.8394, 0.6305, 0.5194)  1 Ga 2.30
Br (0.3695, 0.4806, 0.1606)  1 Ga 2.30
Br (0.4806, 0.1606, 0.3695)  1 Ga 2.30
Br (0.1606, 0.3695, 0.4806)  1 Ga 2.30
Br (0.2267, 0.0784, 0.7518)  2 Ga 2.51-2.55
Br (0.2482, 0.7733, 0.9216)  2 Ga 2.51-2.55
Br (0.9216, 0.2482, 0.7733)  2 Ga 2.51-2.55
Br (0.7733, 0.9216, 0.2482)  2 Ga 2.51-2.55
Br (0.7518, 0.2267, 0.0784)  2 Ga 2.51-2.55
Br (0.0784, 0.7518, 0.2267)  2 Ga 2.51-2.55

---

3.
First-principles (PBE-GGA) data for crystalline BeGa3Br at its relaxed geometry, as listed in Alexandria via LeMat-Bulk.

* DFT total energy: -1.948 eV per atom
* symmetry: Pm-3m
* energy relative to the lowest polymorph listed for this composition: 904.5 meV per atom
* calculated volume: 34.32 Å³/atom

Unit cell a=5.5569 b=5.5569 c=5.5569 alpha=90.00 beta=90.00 gamma=90.00
With the nearest neighbours (Å) after each atom.
Fractional coordinates of all 5 atoms:
Be (0.5000, 0.5000, 0.5000)  12 Ga 3.93
Ga (0.0000, 0.5000, 0.0000)  2 Br 2.78
Ga (0.0000, 0.0000, 0.5000)  2 Br 2.78
Ga (0.5000, 0.0000, 0.0000)  2 Br 2.78
Br (0.0000, 0.0000, 0.0000)  6 Ga 2.78

---

4.
First-principles (PBE-GGA) data for crystalline Be2GaGeBr at its relaxed geometry, as listed in Alexandria via LeMat-Bulk.

* DFT total energy: -2.980 eV per atom
* symmetry: P4/mmm
* calculated volume: 21.47 Å³/atom

Unit cell a=4.2539 b=5.9320 c=4.2539 alpha=90.00 beta=90.00 gamma=90.00
With the nearest neighbours (Å) after each atom.
Fractional coordinates of all 5 atoms:
Be (0.0000, 0.0000, 0.5000)  2 Ge 2.13
Be (0.5000, 0.0000, 0.0000)  2 Ge 2.13
Ge (0.0000, 0.0000, 0.0000)  4 Be 2.13
Ga (0.0000, 0.5000, 0.0000)  2 Ge 2.97, 4 Br 3.01
Br (0.5000, 0.5000, 0.5000)  4 Ga 3.01

---

5.
First-principles (PBE-GGA) data for crystalline KBe2GaBr6 at its relaxed geometry, as listed in Alexandria via LeMat-Bulk.

* DFT total energy: -3.184 eV per atom
* symmetry: C2/c
* calculated volume: 37.98 Å³/atom

Unit cell a=8.7602 b=8.7602 c=10.8292 alpha=97.76 beta=97.76 gamma=109.87
With the nearest neighbours (Å) after each atom.
Fractional coordinates of all 20 atoms:
K (0.1548, 0.8452, 0.2500)  4 Br 3.33-3.46
K (0.8452, 0.1548, 0.7500)  4 Br 3.33-3.46
Be (0.3877, 0.1272, 0.7356)  3 Br 2.07-2.10
Be (0.8728, 0.6123, 0.7644)  3 Br 2.07-2.10
Be (0.6123, 0.8728, 0.2644)  3 Br 2.07-2.10
Be (0.1272, 0.3877, 0.2356)  3 Br 2.07-2.10
Ga (0.5453, 0.4547, 0.2500)  4 Br 3.04-3.21
Ga (0.4547, 0.5453, 0.7500)  4 Br 3.04-3.21
Br (0.9230, 0.4439, 0.1723)  1 Be 2.07
Br (0.5561, 0.0770, 0.3277)  1 Be 2.07
Br (0.0770, 0.5561, 0.8277)  1 Be 2.07
Br (0.4439, 0.9230, 0.6723)  1 Be 2.07
Br (0.1767, 0.1971, 0.1310)  1 Be 2.09
Br (0.8029, 0.8233, 0.3690)  1 Be 2.09
Br (0.8233, 0.8029, 0.8690)  1 Be 2.09
Br (0.1971, 0.1767, 0.6310)  1 Be 2.09
Br (0.3023, 0.5362, 0.3970)  1 Be 2.10
Br (0.4638, 0.6977, 0.1030)  1 Be 2.10
Br (0.6977, 0.4638, 0.6030)  1 Be 2.10
Br (0.5362, 0.3023, 0.8970)  1 Be 2.10

---

6.
First-principles (PBE-GGA) data for crystalline LaBeGa2Br at its relaxed geometry, as listed in Alexandria via LeMat-Bulk.

* DFT total energy: -2.582 eV per atom
* symmetry: P4/mmm
* calculated volume: 43.10 Å³/atom

Unit cell a=6.1163 b=5.7604 c=6.1163 alpha=90.00 beta=90.00 gamma=90.00
With the nearest neighbours (Å) after each atom.
Fractional coordinates of all 5 atoms:
Be (0.5000, 0.5000, 0.5000)  8 Ga 4.20, 4 Br 4.32
Ga (0.0000, 0.0000, 0.5000)  2 La 3.06
Ga (0.5000, 0.0000, 0.0000)  2 La 3.06
Br (0.0000, 0.5000, 0.0000)  2 La 2.88
La (0.0000, 0.0000, 0.0000)  2 Br 2.88, 4 Ga 3.06

---

7.
First-principles (PBE-GGA) data for crystalline NaBeGaBr4 at its relaxed geometry, as listed in Alexandria via LeMat-Bulk.

* DFT total energy: -3.128 eV per atom
* symmetry: P2_1/m
* calculated volume: 28.57 Å³/atom

Unit cell a=6.9561 b=7.1996 c=8.3788 alpha=90.00 beta=107.63 gamma=90.00
With the nearest neighbours (Å) after each atom.
Fractional coordinates of all 14 atoms:
Na (0.7650, 0.7500, 0.4412)  6 Br 2.93-3.21
Na (0.2350, 0.2500, 0.5588)  6 Br 2.93-3.21
Be (0.2309, 0.7500, 0.3079)  4 Br 2.18-2.22
Be (0.7691, 0.2500, 0.6921)  4 Br 2.18-2.22
Ga (0.7494, 0.7500, 0.9161)  6 Br 3.08-3.40
Ga (0.2506, 0.2500, 0.0839)  6 Br 3.08-3.40
Br (0.9761, 0.4919, 0.7416)  1 Be 2.22
Br (0.0239, 0.9919, 0.2584)  1 Be 2.22
Br (0.0239, 0.5081, 0.2584)  1 Be 2.22
Br (0.9761, 0.0081, 0.7416)  1 Be 2.22
Br (0.4150, 0.7500, 0.1390)  1 Be 2.18
Br (0.5850, 0.2500, 0.8610)  1 Be 2.18
Br (0.4102, 0.7500, 0.5733)  1 Be 2.20
Br (0.5898, 0.2500, 0.4267)  1 Be 2.20

---

8.
First-principles (PBE-GGA) data for crystalline RbBe2GaBr6 at its relaxed geometry, as listed in Alexandria via LeMat-Bulk.

* DFT total energy: -3.185 eV per atom
* symmetry: C2/c
* calculated volume: 38.57 Å³/atom

Unit cell a=9.3051 b=9.3051 c=10.0404 alpha=101.56 beta=101.56 gamma=109.03
With the nearest neighbours (Å) after each atom.
Fractional coordinates of all 20 atoms:
Rb (0.1834, 0.8166, 0.2500)  8 Br 3.67-3.85
Rb (0.8166, 0.1834, 0.7500)  8 Br 3.67-3.85
Be (0.3506, 0.1475, 0.7252)  3 Br 2.06-2.11
Be (0.8525, 0.6494, 0.7748)  3 Br 2.06-2.11
Be (0.6494, 0.8525, 0.2748)  3 Br 2.06-2.11
Be (0.1475, 0.3506, 0.2252)  3 Br 2.06-2.11
Ga (0.5529, 0.4471, 0.2500)  6 Br 3.10-3.44
Ga (0.4471, 0.5529, 0.7500)  6 Br 3.10-3.44
Br (0.9353, 0.3686, 0.1410)  1 Be 2.06
Br (0.6314, 0.0647, 0.3590)  1 Be 2.06
Br (0.0647, 0.6314, 0.8590)  1 Be 2.06
Br (0.3686, 0.9353, 0.6410)  1 Be 2.06
Br (0.2138, 0.1704, 0.1309)  1 Be 2.09
Br (0.8296, 0.7862, 0.3691)  1 Be 2.09
Br (0.7862, 0.8296, 0.8691)  1 Be 2.09
Br (0.1704, 0.2138, 0.6309)  1 Be 2.09
Br (0.3195, 0.5347, 0.3991)  1 Be 2.11
Br (0.4653, 0.6805, 0.1009)  1 Be 2.11
Br (0.6805, 0.4653, 0.6009)  1 Be 2.11
Br (0.5347, 0.3195, 0.8991)  1 Be 2.11

---

DOS at the Fermi energy for every record listed, in sequence, given in states/eV/f.u.: 2.0 0.0 3.0 1.2 0.0 6.0 0.0 0.0.
Raw formation energy for every record listed, in sequence, given in kJ/mol of formula units: 21 -1122 457 181 -986 335 -688 -1001.